The following is a PBE-GGA calculation of crystalline Tc7B2Os2 at its relaxed geometry, from Alexandria.

Cell lengths 7.846, 7.846, 7.846 Å; angles 159.07, 61.77, 122.62 degrees
Atoms (fractional coordinates):
Tc (0.000, 0.000, 0.000)
Tc (0.293, 0.449, 0.844)
Tc (0.309, 0.644, 0.665)
Tc (0.605, 0.449, 0.156)
Tc (0.616, 0.269, 0.347)
Tc (0.922, 0.269, 0.653)
Tc (0.978, 0.644, 0.335)
B (0.173, 0.951, 0.221)
B (0.730, 0.951, 0.779)
Os (0.332, 0.832, 0.500)
Os (0.646, 0.646, 0.000)

Computed properties:
* calculated total energy: -9.9389 eV per atom
* DFT formation energy: -86 meV per atom
* magnetic moment: 0.0 Bohr magnetons per cell
* space group: Imm2